# 1
This record from Alexandria via LeMat-Bulk describes NaMgFe3 at its PBEsol-relaxed geometry. The functional is meta-GGA SCAN.

Calculated volume   17.4 Å³ per atom
Final energy   -55.554 eV for the cell shown
Density of states at the Fermi level   2.79 states/eV per cell

Geometry as CIF:
```
data_NaMgFe3
_cell_length_a 4.4322
_cell_length_b 4.4322
_cell_length_c 4.4322
_cell_angle_alpha 90.00
_cell_angle_beta 90.00
_cell_angle_gamma 90.00
_symmetry_space_group_name_H-M 'P m -3 m'
_symmetry_Int_Tables_number 221
_symmetry_space_group_name_Hall '-P 4 2 3'
loop_
_atom_site_label
_atom_site_type_symbol
_atom_site_fract_x
_atom_site_fract_y
_atom_site_fract_z
Na1 Na 0.0000 0.0000 0.0000
Mg1 Mg 0.5000 0.5000 0.5000
Fe1 Fe 0.0000 0.0000 0.5000
```


# 2
This record from Alexandria via LeMat-Bulk describes Mg2Nb2Fe at its PBEsol-relaxed geometry. The functional is meta-GGA SCAN.

Calculated volume   19.8 Å³ per atom
Final energy   -181.234 eV for the cell shown
Density of states at the Fermi level   5.95 states/eV per cell

Geometry as CIF:
```
data_Mg2Nb2Fe
_cell_length_a 3.6126
_cell_length_b 3.6126
_cell_length_c 15.2003
_cell_angle_alpha 90.00
_cell_angle_beta 90.00
_cell_angle_gamma 90.00
_symmetry_space_group_name_H-M 'I 4/m m m'
_symmetry_Int_Tables_number 139
_symmetry_space_group_name_Hall '-I 4 2'
loop_
_atom_site_label
_atom_site_type_symbol
_atom_site_fract_x
_atom_site_fract_y
_atom_site_fract_z
Mg1 Mg 0.0000 0.0000 0.0894
Nb1 Nb 0.0000 0.5000 0.2500
Fe1 Fe 0.0000 0.0000 0.5000
```


# 3
This record from Alexandria via LeMat-Bulk describes Mg30NbFeO32 at its PBEsol-relaxed geometry. The functional is meta-GGA SCAN.

Calculated volume   9.4 Å³ per atom
Final energy   -584.141 eV for the cell shown

Geometry as CIF:
```
data_Mg30NbFeO32
_cell_length_a 8.4524
_cell_length_b 8.4524
_cell_length_c 8.4582
_cell_angle_alpha 90.00
_cell_angle_beta 90.00
_cell_angle_gamma 90.00
_symmetry_space_group_name_H-M 'P 4/m m m'
_symmetry_Int_Tables_number 123
_symmetry_space_group_name_Hall '-P 4 2'
loop_
_atom_site_label
_atom_site_type_symbol
_atom_site_fract_x
_atom_site_fract_y
_atom_site_fract_z
Mg1 Mg 0.0000 0.0000 0.0000
Mg2 Mg 0.0000 0.2477 0.2518
Mg3 Mg 0.0000 0.5000 0.0000
Mg4 Mg 0.0000 0.5000 0.5000
Mg5 Mg 0.2458 0.2458 0.5000
Mg6 Mg 0.2477 0.5000 0.2482
Mg7 Mg 0.2494 0.2494 0.0000
Mg8 Mg 0.5000 0.5000 0.0000
Nb1 Nb 0.5000 0.5000 0.5000
Fe1 Fe 0.0000 0.0000 0.5000
O1 O 0.0000 0.0000 0.2511
O2 O 0.0000 0.2468 0.5000
O3 O 0.0000 0.2490 0.0000
O4 O 0.0000 0.5000 0.2496
O5 O 0.2386 0.5000 0.5000
O6 O 0.2485 0.5000 0.0000
O7 O 0.2501 0.2501 0.2506
O8 O 0.5000 0.5000 0.2385
```


# 4
This record from Alexandria via LeMat-Bulk describes Mg2FeNi at its PBEsol-relaxed geometry. The functional is meta-GGA SCAN.

Calculated volume   14.2 Å³ per atom
Final energy   -175.210 eV for the cell shown
Density of states at the Fermi level   8.71 states/eV per cell

Geometry as CIF:
```
data_Mg2FeNi
_cell_length_a 6.1041
_cell_length_b 6.1041
_cell_length_c 6.1041
_cell_angle_alpha 90.00
_cell_angle_beta 90.00
_cell_angle_gamma 90.00
_symmetry_space_group_name_H-M 'F -4 3 m'
_symmetry_Int_Tables_number 216
_symmetry_space_group_name_Hall 'F -4 2 3'
loop_
_atom_site_label
_atom_site_type_symbol
_atom_site_fract_x
_atom_site_fract_y
_atom_site_fract_z
Mg1 Mg 0.0000 0.0000 0.0000
Mg2 Mg 0.2500 0.2500 0.2500
Fe1 Fe 0.2500 0.2500 0.7500
Ni1 Ni 0.0000 0.0000 0.5000
```


# 5
This record from Alexandria via LeMat-Bulk describes Mg2FeNi at its PBEsol-relaxed geometry. The functional is meta-GGA SCAN.

Calculated volume   14.2 Å³ per atom
Final energy   -87.492 eV for the cell shown
Density of states at the Fermi level   3.59 states/eV per cell

Geometry as CIF:
```
data_Mg2FeNi
_cell_length_a 3.8565
_cell_length_b 3.8565
_cell_length_c 7.6192
_cell_angle_alpha 90.00
_cell_angle_beta 90.00
_cell_angle_gamma 90.00
_symmetry_space_group_name_H-M 'I 4/m m m'
_symmetry_Int_Tables_number 139
_symmetry_space_group_name_Hall '-I 4 2'
loop_
_atom_site_label
_atom_site_type_symbol
_atom_site_fract_x
_atom_site_fract_y
_atom_site_fract_z
Mg1 Mg 0.0000 0.5000 0.2500
Fe1 Fe 0.0000 0.0000 0.0000
Ni1 Ni 0.0000 0.0000 0.5000
```


# 6
This record from Alexandria via LeMat-Bulk describes Mg2FeNi at its PBEsol-relaxed geometry. The functional is meta-GGA SCAN.

Calculated volume   14.2 Å³ per atom
Final energy   -173.937 eV for the cell shown
Density of states at the Fermi level   19.15 states/eV per cell

Geometry as CIF:
```
data_Mg2FeNi
_cell_length_a 6.1021
_cell_length_b 6.1021
_cell_length_c 6.1021
_cell_angle_alpha 90.00
_cell_angle_beta 90.00
_cell_angle_gamma 90.00
_symmetry_space_group_name_H-M 'F m -3 m'
_symmetry_Int_Tables_number 225
_symmetry_space_group_name_Hall '-F 4 2 3'
loop_
_atom_site_label
_atom_site_type_symbol
_atom_site_fract_x
_atom_site_fract_y
_atom_site_fract_z
Mg1 Mg 0.2500 0.2500 0.2500
Fe1 Fe 0.0000 0.0000 0.0000
Ni1 Ni 0.0000 0.0000 0.5000
```


# 7
This record from Alexandria via LeMat-Bulk describes MgFeNi at its PBEsol-relaxed geometry. The functional is meta-GGA SCAN.

Calculated volume   14.9 Å³ per atom
Final energy   -152.970 eV for the cell shown
Density of states at the Fermi level   13.84 states/eV per cell

Geometry as CIF:
```
data_MgFeNi
_cell_length_a 5.6356
_cell_length_b 5.6356
_cell_length_c 5.6356
_cell_angle_alpha 90.00
_cell_angle_beta 90.00
_cell_angle_gamma 90.00
_symmetry_space_group_name_H-M 'F -4 3 m'
_symmetry_Int_Tables_number 216
_symmetry_space_group_name_Hall 'F -4 2 3'
loop_
_atom_site_label
_atom_site_type_symbol
_atom_site_fract_x
_atom_site_fract_y
_atom_site_fract_z
Mg1 Mg 0.0000 0.0000 0.0000
Fe1 Fe 0.0000 0.0000 0.5000
Ni1 Ni 0.2500 0.2500 0.7500
```


# 8
This record from Alexandria via LeMat-Bulk describes Mg2FeNiSe at its PBEsol-relaxed geometry. The functional is meta-GGA SCAN.

Calculated volume   20.2 Å³ per atom
Final energy   -61.400 eV for the cell shown
Density of states at the Fermi level   2.14 states/eV per cell

Geometry as CIF:
```
data_Mg2FeNiSe
_cell_length_a 4.8554
_cell_length_b 4.8554
_cell_length_c 4.2870
_cell_angle_alpha 90.00
_cell_angle_beta 90.00
_cell_angle_gamma 90.00
_symmetry_space_group_name_H-M 'P 4/m m m'
_symmetry_Int_Tables_number 123
_symmetry_space_group_name_Hall '-P 4 2'
loop_
_atom_site_label
_atom_site_type_symbol
_atom_site_fract_x
_atom_site_fract_y
_atom_site_fract_z
Mg1 Mg 0.0000 0.5000 0.0000
Fe1 Fe 0.0000 0.0000 0.5000
Ni1 Ni 0.5000 0.5000 0.5000
Se1 Se 0.0000 0.0000 0.0000
```


# 9
This record from Alexandria via LeMat-Bulk describes MgFe2O3 at its PBEsol-relaxed geometry. The functional is meta-GGA SCAN.

Calculated volume   9.5 Å³ per atom
Final energy   -142.116 eV for the cell shown
Density of states at the Fermi level   3.56 states/eV per cell

Geometry as CIF:
```
data_MgFe2O3
_cell_length_a 2.9699
_cell_length_b 2.9699
_cell_length_c 12.8964
_cell_angle_alpha 90.00
_cell_angle_beta 90.00
_cell_angle_gamma 90.00
_symmetry_space_group_name_H-M 'I 4/m m m'
_symmetry_Int_Tables_number 139
_symmetry_space_group_name_Hall '-I 4 2'
loop_
_atom_site_label
_atom_site_type_symbol
_atom_site_fract_x
_atom_site_fract_y
_atom_site_fract_z
Mg1 Mg 0.0000 0.0000 0.0000
Fe1 Fe 0.0000 0.0000 0.3252
O1 O 0.0000 0.0000 0.1614
O2 O 0.0000 0.0000 0.5000
```


# 10
This record from Alexandria via LeMat-Bulk describes MgFe3O at its PBEsol-relaxed geometry. The functional is meta-GGA SCAN.

Calculated volume   11.2 Å³ per atom
Final energy   -66.562 eV for the cell shown
Density of states at the Fermi level   2.54 states/eV per cell

Geometry as CIF:
```
data_MgFe3O
_cell_length_a 3.8274
_cell_length_b 3.8274
_cell_length_c 3.8274
_cell_angle_alpha 90.00
_cell_angle_beta 90.00
_cell_angle_gamma 90.00
_symmetry_space_group_name_H-M 'P m -3 m'
_symmetry_Int_Tables_number 221
_symmetry_space_group_name_Hall '-P 4 2 3'
loop_
_atom_site_label
_atom_site_type_symbol
_atom_site_fract_x
_atom_site_fract_y
_atom_site_fract_z
Mg1 Mg 0.0000 0.0000 0.0000
Fe1 Fe 0.0000 0.5000 0.5000
O1 O 0.5000 0.5000 0.5000
```


# 11
This record from Alexandria via LeMat-Bulk describes Mg4FeO5 at its PBEsol-relaxed geometry. The functional is meta-GGA SCAN.

E above lowest polymorph   14.7 meV per atom
Calculated volume   9.4 Å³ per atom
Density of states at the Fermi level   3.47 states/eV per cell

Geometry as CIF:
```
data_Mg4FeO5
_cell_length_a 2.9764
_cell_length_b 4.2069
_cell_length_c 15.0486
_cell_angle_alpha 90.00
_cell_angle_beta 90.00
_cell_angle_gamma 90.00
_symmetry_space_group_name_H-M 'I m m m'
_symmetry_Int_Tables_number 71
_symmetry_space_group_name_Hall '-I 2 2'
loop_
_atom_site_label
_atom_site_type_symbol
_atom_site_fract_x
_atom_site_fract_y
_atom_site_fract_z
Mg1 Mg 0.0000 0.0000 0.1003
Mg2 Mg 0.0000 0.0000 0.2990
Fe1 Fe 0.0000 0.0000 0.5000
O1 O 0.0000 0.5000 0.1039
O2 O 0.0000 0.5000 0.3005
O3 O 0.0000 0.5000 0.5000
```


# 12
This record from Alexandria via LeMat-Bulk describes Mg4FeO5 at its PBEsol-relaxed geometry. The functional is meta-GGA SCAN.

E above lowest polymorph   15.3 meV per atom
Calculated volume   9.4 Å³ per atom
Density of states at the Fermi level   4.31 states/eV per cell

Geometry as CIF:
```
data_Mg4FeO5
_cell_length_a 9.9587
_cell_length_b 2.9659
_cell_length_c 7.3525
_cell_angle_alpha 90.00
_cell_angle_beta 119.75
_cell_angle_gamma 90.00
_symmetry_space_group_name_H-M 'C 1 2/m 1'
_symmetry_Int_Tables_number 12
loop_
_symmetry_equiv_pos_as_xyz
'x,y,z'
'-x,-y,-z'
'-x,y,-z'
'x,-y,z'
'x+1/2,y+1/2,z'
'-x+1/2,-y+1/2,-z'
'-x+1/2,y+1/2,-z'
'x+1/2,-y+1/2,z'
loop_
_atom_site_label
_atom_site_type_symbol
_atom_site_fract_x
_atom_site_fract_y
_atom_site_fract_z
Mg1 Mg 0.0976 0.0000 0.3976
Mg2 Mg 0.2025 0.5000 0.8001
Fe1 Fe 0.0000 0.5000 0.0000
O1 O 0.0000 0.5000 0.5000
O2 O 0.1040 0.0000 0.8960
O3 O 0.2005 0.5000 0.3029
```